Entry 1:
Density functional theory data (PBE) for an optimized crystal structure of TbPr2DyHo6.

Results
Formation energy from the elements   0.1184 eV per atom
Uncorrected energy   -4.507 eV/atom
Calculated volume   32.50 A^3/atom

Unit cell a=9.729 b=8.760 c=8.760 alpha=118.08 beta=94.78 gamma=94.78
Element x y z (fractional)
Tb1 0.250 0.983 0.017
Tb2 0.750 0.017 0.983
Pr1 0.458 0.808 0.705
Pr2 0.042 0.295 0.192
Pr3 0.542 0.192 0.295
Pr4 0.958 0.705 0.808
Dy1 0.250 0.406 0.594
Dy2 0.750 0.594 0.406
Ho1 0.057 0.124 0.742
Ho2 0.443 0.258 0.876
Ho3 0.943 0.876 0.258
Ho4 0.557 0.742 0.124
Ho5 0.313 0.977 0.424
Ho6 0.187 0.576 0.023
Ho7 0.687 0.023 0.576
Ho8 0.813 0.424 0.977
Ho9 0.119 0.706 0.496
Ho10 0.381 0.504 0.294
Ho11 0.881 0.294 0.504
Ho12 0.619 0.496 0.706



Entry 2:
Density functional theory data (PBE) for an optimized crystal structure of Tb2PrDy6Ho.

Results
Formation energy from the elements   0.1191 eV per atom
Uncorrected energy   -4.504 eV/atom
Calculated volume   32.43 A^3/atom

Unit cell a=9.558 b=8.793 c=8.793 alpha=117.80 beta=93.70 gamma=93.70
Element x y z (fractional)
Tb1 0.454 0.801 0.696
Tb2 0.046 0.304 0.199
Tb3 0.546 0.199 0.304
Tb4 0.954 0.696 0.801
Pr1 0.250 0.975 0.025
Pr2 0.750 0.025 0.975
Dy1 0.057 0.123 0.748
Dy2 0.443 0.252 0.877
Dy3 0.943 0.877 0.252
Dy4 0.557 0.748 0.123
Dy5 0.317 0.982 0.434
Dy6 0.183 0.566 0.018
Dy7 0.683 0.018 0.566
Dy8 0.817 0.434 0.982
Dy9 0.119 0.708 0.491
Dy10 0.381 0.509 0.292
Dy11 0.881 0.292 0.509
Dy12 0.619 0.491 0.708
Ho1 0.250 0.409 0.591
Ho2 0.750 0.591 0.409



Entry 3:
Density functional theory data (PBE) for an optimized crystal structure of Tb6PrDy3Ho2.

Results
Formation energy from the elements   0.0155 eV per atom
Uncorrected energy   -4.611 eV/atom
Calculated volume   31.93 A^3/atom

Unit cell a=6.165 b=6.165 c=11.813 alpha=94.96 beta=94.96 gamma=119.95
Element x y z (fractional)
Tb1 0.916 0.581 0.748
Tb2 0.750 0.750 0.251
Tb3 0.084 0.419 0.252
Tb4 0.581 0.916 0.748
Tb5 0.250 0.250 0.749
Tb6 0.419 0.084 0.252
Pr1 0.000 0.000 0.000
Dy1 0.167 0.833 0.500
Dy2 0.833 0.167 0.500
Dy3 0.500 0.500 0.500
Ho1 0.333 0.667 0.000
Ho2 0.667 0.333 0.000



Entry 4:
Density functional theory data (PBE) for an optimized crystal structure of Tb3Pr6DyHo2.

Results
Formation energy from the elements   0.0109 eV per atom
Uncorrected energy   -4.683 eV/atom
Calculated volume   33.67 A^3/atom

Unit cell a=6.310 b=6.310 c=11.902 alpha=95.06 beta=95.06 gamma=120.01
Element x y z (fractional)
Tb1 0.167 0.833 0.500
Tb2 0.833 0.167 0.500
Tb3 0.500 0.500 0.500
Pr1 0.916 0.583 0.751
Pr2 0.750 0.750 0.249
Pr3 0.084 0.417 0.249
Pr4 0.583 0.916 0.751
Pr5 0.250 0.250 0.751
Pr6 0.417 0.084 0.249
Dy1 0.000 0.000 0.000
Ho1 0.333 0.667 0.000
Ho2 0.667 0.333 0.000